Record 1
The following is a SCAN calculation of a crystal of TiHg3C relaxed with PBEsol, from Alexandria.

Computed properties:
* energy relative to the elements: 1.217 eV/atom
* volume: 19.02 A^3/atom
* total DFT energy (no corrections): -224.5 eV for the cell shown
* D(E_F): 0.709 states/eV/atom
* crystal system: cubic

Cell: 4.565 4.565 4.565 Å, 90.00 90.00 90.00°
Fractional coordinates of all 5 atoms:
C  0.000  0.000  0.000
Ti  0.500  0.500  0.500
Hg  0.500  0.000  0.000
Hg  0.000  0.000  0.500
Hg  0.000  0.500  0.000

***

Record 2
The following is a SCAN calculation of a crystal of Ca2Cu2Sb relaxed with PBEsol, from Alexandria.

Computed properties:
* volume: 23.37 A^3/atom
* total DFT energy (no corrections): -88.1 eV for the cell shown
* uncorrected formation energy: -5.14 kcal/mol of atoms
* D(E_F): 0.733 states/eV/atom
* crystal system: tetragonal

Cell: 5.420 5.420 5.420 Å, 85.13 62.77 117.23°
Fractional coordinates of all 5 atoms:
Ca  0.500  0.750  0.750
Cu  0.000  0.652  0.348
Cu  0.000  0.348  0.652
Ca  0.500  0.250  0.250
Sb  0.000  0.000  0.000

***

Record 3
The following is a SCAN calculation of a crystal of Tc2MoRh relaxed with PBEsol, from Alexandria.

Computed properties:
* energy relative to the elements: 0.008 eV/atom
* volume: 14.15 A^3/atom
* total DFT energy (no corrections): -138.7 eV for the cell shown
* D(E_F): 0.754 states/eV/atom
* crystal system: monoclinic
* relative energy among the computed polymorphs: 72 meV/atom

Cell: 2.695 4.696 4.736 Å, 99.22 90.00 106.67°
Fractional coordinates of all 4 atoms:
Mo  0.498  0.996  0.493
Tc  0.003  0.005  0.994
Rh  0.748  0.496  0.251
Tc  0.252  0.504  0.762